# 1
Here is a relaxed structure of SmNp2Ni9 from the Alexandria database. Energies are from PBE.

abc: 8.628 8.628 8.628
angles: 33.14 33.14 33.14
Positions (direct):
Sm  0.000  0.000  0.000
Np  0.145  0.145  0.145
Np  0.855  0.855  0.855
Ni  0.083  0.583  0.583
Ni  0.333  0.333  0.333
Ni  0.417  0.417  0.917
Ni  0.417  0.917  0.417
Ni  0.500  0.500  0.500
Ni  0.583  0.083  0.583
Ni  0.583  0.583  0.083
Ni  0.667  0.667  0.667
Ni  0.917  0.417  0.417

Summary:
E_tot = -7.118 eV per atom
Size of the total moment = 6.5 μB/cell



# 2
Here is a relaxed structure of YGa2AgAu2 from the Alexandria database. Energies are from PBE.

abc: 4.528 4.528 6.577
angles: 90.00 90.00 120.00
Positions (direct):
Y  0.000  0.000  0.000
Ga  0.333  0.667  0.280
Ga  0.667  0.333  0.720
Ag  0.000  0.000  0.500
Au  0.333  0.667  0.735
Au  0.667  0.333  0.265

Summary:
E_tot = -4.159 eV per atom
Size of the total moment = 0.0 μB/cell



# 3
Here is a relaxed structure of LiPrIn from the Alexandria database. Energies are from PBE.

abc: 3.370 5.752 4.488
angles: 90.00 90.36 90.00
Positions (direct):
Li  0.000  0.000  0.000
Pr  0.000  0.500  0.500
In  0.500  0.000  0.500

Summary:
E_tot = -3.191 eV per atom
Size of the total moment = 0.0 μB/cell



# 4
Here is a relaxed structure of HoMgAgHg from the Alexandria database. Energies are from PBE.

abc: 4.987 4.987 4.987
angles: 60.00 60.00 60.00
Positions (direct):
Ho  0.000  0.000  0.000
Mg  0.500  0.500  0.500
Ag  0.250  0.250  0.250
Hg  0.750  0.750  0.750

Summary:
E_tot = -2.725 eV per atom
Size of the total moment = 0.0 μB/cell



# 5
Here is a relaxed structure of CoIN2Cl from the Alexandria database. Energies are from PBE.

abc: 3.757 3.757 7.335
angles: 90.00 90.00 90.00
Positions (direct):
Co  0.000  0.000  0.000
I  0.500  0.500  0.000
N  0.000  0.500  0.500
N  0.500  0.000  0.500
Cl  0.500  0.500  0.500

Summary:
Excess energy over the best structure of this formula in the dataset = 1008 meV/atom
E_tot = -3.159 eV per atom
Uncorrected formation energy = 2.2716 eV per atom
Size of the total moment = 2.8 μB/cell



# 6
Here is a relaxed structure of Sr2Zn4Ge3Pt from the Alexandria database. Energies are from PBE.

abc: 4.391 4.391 10.640
angles: 90.00 90.00 90.00
Positions (direct):
Sr  0.000  0.500  0.246
Sr  0.500  0.000  0.754
Zn  0.000  0.000  0.500
Zn  0.000  0.500  0.873
Zn  0.500  0.000  0.127
Zn  0.500  0.500  0.500
Ge  0.000  0.000  0.000
Ge  0.000  0.500  0.635
Ge  0.500  0.000  0.365
Pt  0.500  0.500  0.000

Summary:
E_tot = -3.274 eV per atom
Size of the total moment = 0.0 μB/cell



# 7
Here is a relaxed structure of YPd5Pt2 from the Alexandria database. Energies are from PBE.

abc: 6.554 6.554 6.554
angles: 146.93 104.49 84.94
Positions (direct):
Y  0.000  0.000  0.000
Pd  0.168  0.355  0.813
Pd  0.458  0.645  0.813
Pd  0.500  0.000  0.500
Pd  0.542  0.355  0.187
Pd  0.832  0.645  0.187
Pt  0.220  0.720  0.500
Pt  0.780  0.280  0.500

Summary:
Excess energy over the best structure of this formula in the dataset = 172 meV/atom
E_tot = -5.829 eV per atom
Size of the total moment = 0.0 μB/cell



# 8
Here is a relaxed structure of Tc2PbAu from the Alexandria database. Energies are from PBE.

abc: 4.620 4.620 3.257
angles: 90.00 90.00 90.00
Positions (direct):
Tc  0.000  0.500  0.000
Tc  0.500  0.000  0.000
Pb  0.000  0.000  0.500
Au  0.500  0.500  0.500

Summary:
E_tot = -6.277 eV per atom
Size of the total moment = 0.5 μB/cell



> The highest E_tot belongs to which entry?

HoMgAgHg